80
Lattice="-4.526 -6.512 -8.533 9.876 4.941 -3.708 2.254 -6.727 9.239" Properties=species:S:1:pos:R:3 comment="Sr3Co5F12 | Alexandria | PBE with a Hubbard U | optimized geometry" total_magnetization_mub_per_atom=0.568 n_ef_per_ev_fu=9.4 final_energy_ev_per_atom=-5.00 pbc="T T T"
Sr 0.591 -3.872 -6.635
Sr 3.729 -2.833 -9.092
Sr 7.119 -2.941 -0.206
Sr 0.948 -3.533 0.868
Sr -2.162 -6.762 -5.620
Sr 5.039 -1.036 -3.207
Sr 2.566 -7.262 0.206
Sr 9.767 -1.536 2.619
Sr 6.656 -4.765 -3.869
Sr 0.486 -5.357 -2.795
Sr 3.876 -5.465 6.091
Sr 7.014 -4.426 3.634
Co 3.701 -0.643 -0.147
Co 4.938 2.471 -1.854
Co 0.000 0.000 0.000
Co 1.054 -2.048 -2.972
Co -1.136 -6.620 0.353
Co 2.675 -0.786 -6.120
Co 7.687 0.369 -0.383
Co -0.187 -10.153 1.221
Co 3.624 -4.319 -5.252
Co 1.228 -6.870 3.266
Co 6.377 -1.428 -6.268
Co 3.802 -4.149 -1.501
Co -2.263 -3.256 -4.266
Co 1.127 -3.363 4.620
Co 3.981 -3.979 2.251
Co 7.792 1.854 -4.223
Co 6.065 -0.893 2.766
Co -0.082 -8.667 -2.619
Co 6.551 -6.250 -0.029
Co 3.903 -7.655 -2.854
F -1.847 -4.274 -6.246
F 4.781 -2.171 -0.993
F -0.081 -6.349 -6.945
F -0.001 -3.331 -4.178
F 5.962 -4.821 -1.381
F 1.913 -4.521 -8.760
F 7.215 -1.026 -1.813
F 8.921 3.025 -2.970
F 8.333 -3.675 -2.367
F 2.926 -2.976 -6.640
F 1.836 -5.296 -4.998
F 5.319 -1.139 -10.018
F 7.693 -0.948 1.192
F 2.541 -0.951 -3.866
F 9.400 1.459 -0.684
F 0.764 -6.046 1.444
F 1.862 -1.127 0.625
F 4.817 -0.283 -5.582
F 5.962 -2.736 -7.795
F 3.718 0.563 -1.809
F 9.594 -2.915 0.539
F 4.498 -3.537 -3.567
F 5.234 -5.466 -5.804
F 1.703 -9.670 0.582
F 3.107 -4.761 0.566
F 2.370 -2.832 2.803
F 5.902 1.372 -3.584
F 1.642 -5.562 4.794
F -1.989 -5.384 -3.540
F 3.886 -8.861 -1.193
F 2.788 -8.015 2.581
F 6.840 -2.252 -4.445
F 5.743 -7.171 -3.626
F -1.796 -9.757 -2.318
F -0.088 -7.350 -4.194
F 2.286 -7.159 7.017
F 5.064 -7.347 0.864
F -0.728 -4.623 -0.635
F 4.679 -5.323 3.638
F 5.769 -3.002 1.997
F -1.316 -11.323 -0.032
F 0.390 -7.272 -1.188
F 7.606 -4.967 1.177
F 5.692 -3.777 5.758
F 1.643 -3.477 -1.621
F 7.686 -1.949 3.943
F 2.824 -6.128 -2.008
F 9.451 -4.024 3.245